# 1
The following is a PBE-GGA calculation of an optimized crystal structure of LiAcGaSn, from Alexandria.

Results
ΔE_f   -416.8 meV/atom
Distance to the lowest polymorph of the same formula   0.0000 eV/atom

Lattice parameters (Å, degrees): 4.5786 4.5786 17.0557 90.00 90.00 120.00
With the nearest neighbours (Å) after each atom.
Space group R3m (No. 160, hexagonal axes)
Inequivalent atoms, fractional coordinates:
1 Li 0.0000 0.0000 0.0000  3 Sn 2.66
2 Ac 0.0000 0.0000 0.7986  3 Ga 3.28, 4 Li 3.44-3.47, 3 Sn 3.67
3 Ga 0.0000 0.0000 0.5789  3 Sn 2.90, 3 Li 3.04
4 Sn 0.0000 0.0000 0.3160  3 Li 2.66, 3 Ga 2.90

***

# 2
The following is a PBE-GGA calculation of an optimized crystal structure of TbDy3Au, from Alexandria.

Results
ΔE_f   -223.0 meV/atom

Lattice parameters (Å, degrees): 11.4790 8.4619 7.8347 90.00 124.87 90.00
With the nearest neighbours (Å) after each atom.
Space group C2/m (No. 12)
Inequivalent atoms, fractional coordinates:
1 Tb 0.0803 0.0000 0.2762  2 Au 2.97-2.99
2 Dy 0.0455 0.5000 0.3128  1 Au 2.98
3 Dy 0.1901 0.2009 0.7161  2 Au 2.89-3.04
4 Au 0.2295 0.0000 0.0666  5 Dy 2.89-3.04, 2 Tb 2.97-2.99

***

# 3
The following is a PBE-GGA calculation of an optimized crystal structure of ThSi2Ni4, from Alexandria.

Results
Uncorrected formation energy   -381 kJ/mol of formula units

Lattice parameters (Å, degrees): 16.2999 4.0179 6.2368 90.00 90.00 90.00
With the nearest neighbours (Å) after each atom.
Space group Pnma (No. 62)
Inequivalent atoms, fractional coordinates:
1 Th 0.1401 0.2500 0.0092  9 Ni 2.76-3.06
2 Si 0.0390 0.7500 0.7338  7 Ni 2.34-2.51
3 Si 0.2110 0.2500 0.4833  7 Ni 2.31-2.52
4 Ni 0.0202 0.7500 0.1328  3 Si 2.38-2.51, 1 Ni 2.57
5 Ni 0.0659 0.2500 0.5218  4 Si 2.34-2.44, 1 Ni 2.57
6 Ni 0.1846 0.7500 0.6846  4 Si 2.39-2.52, 1 Ni 2.50
7 Ni 0.2085 0.7500 0.2883  3 Si 2.31-2.35, 1 Ni 2.50

***

# 4
The following is a PBE-GGA calculation of an optimized crystal structure of AcPuSc, from Alexandria.

Results
ΔE_f   335.8 meV/atom
Distance to the lowest polymorph of the same formula   0.1263 eV/atom

Lattice parameters (Å, degrees): 5.6682 5.6682 3.3797 90.00 90.00 120.00
With the nearest neighbours (Å) after each atom.
Space group P-6m2 (No. 187)
Inequivalent atoms, fractional coordinates:
1 Ac 0.0000 0.0000 0.0000  3 Sc 3.27, 2 Ac 3.38
2 Pu 0.6667 0.3333 0.5000  2 Pu 3.38, 6 Ac 3.68, 6 Sc 3.68
3 Sc 0.3333 0.6667 0.0000  3 Ac 3.27, 2 Sc 3.38

***

# 5
The following is a PBE-GGA calculation of an optimized crystal structure of HfWIN2, from Alexandria.

Results
Distance to the lowest polymorph of the same formula   0.0000 eV/atom
Uncorrected formation energy   412 kJ/mol of formula units

Lattice parameters (Å, degrees): 4.0228 4.0228 5.4434 90.00 90.00 90.00
With the nearest neighbours (Å) after each atom.
Space group P4/mmm (No. 123)
Inequivalent atoms, fractional coordinates:
1 Hf 0.0000 0.0000 0.0000  4 I 2.84
2 W 0.5000 0.5000 0.5000  4 N 2.01
3 I 0.5000 0.5000 0.0000  2 W 2.72, 4 Hf 2.84
4 N 0.0000 0.5000 0.5000  2 W 2.01

***

# 6
The following is a PBE-GGA calculation of an optimized crystal structure of ZnAu2Se, from Alexandria.

Results
Uncorrected formation energy   35 kJ/mol of formula units

Lattice parameters (Å, degrees): 3.8649 4.4147 8.6761 90.00 90.00 90.00
With the nearest neighbours (Å) after each atom.
Space group Imm2 (No. 44)
Inequivalent atoms, fractional coordinates:
1 Zn 0.0000 0.0000 0.0000  2 Se 2.69, 6 Au 2.69-2.93
2 Au 0.0000 0.0000 0.4910  2 Se 2.84, 4 Zn 2.93, 4 Au 2.94-3.07
3 Au 0.0000 0.5000 0.7157  2 Zn 2.69, 2 Au 2.94, 4 Se 2.99
4 Se 0.0000 0.5000 0.2851  2 Zn 2.69, 6 Au 2.84-2.99

***

no.,energy (eV/atom),density of states at the Fermi level (states/eV/f.u.)
1,-3.68,1.538
2,-4.57,7.210
3,-6.48,4.988
4,-7.92,9.728
5,-7.37,3.621
6,-2.74,1.332